An optimized crystal structure of ZnIn2Hg. Source: Alexandria via LeMat-Bulk, functional GGA-PBE.

Structure (POSCAR):
```
ZnIn2Hg
1.0
3.2445 0.0000 0.0000
0.0000 3.2445 0.0000
0.0000 0.0000 9.1509
Zn Hg In
1 1 2
Direct
0.5000 0.5000 0.2500 Zn
0.5000 0.5000 0.7500 Hg
0.0000 0.0000 0.0270 In
0.0000 0.0000 0.4730 In
```

## Properties
Total DFT energy (no corrections) (eV per atom): -1.6932
Calculated formation energy (eV per atom): 0.070
Space-group type: P4/mmm (123)
Density of states at the Fermi level (states/eV per atom): 0.2479